1.
DFT (GGA-PBE) results for a relaxed structure of AcYCu10.

ΔH_f (0 K): -154.2 meV/atom
total magnetic moment: 0.00 μB per atom

Lattice parameters (Å, degrees): 4.1060 5.1921 8.9216 90.00 90.00 90.00
With the nearest neighbours (Å) after each atom.
Space group Pmmm (No. 47)
Symmetry-distinct sites (fractional):
Ac  0.0000  0.0000  0.0000 (multiplicity 1)  18 Cu 3.04-3.37
Y  0.0000  0.5000  0.5000 (multiplicity 1)  14 Cu 2.88-3.23
Cu  0.0000  0.0000  0.3427 (multiplicity 2)  6 Cu 2.49-2.55
Cu  0.0000  0.5000  0.1771 (multiplicity 2)  6 Cu 2.52-2.59
Cu  0.5000  0.0000  0.5000 (multiplicity 1)  8 Cu 2.49-2.52
Cu  0.5000  0.2558  0.2600 (multiplicity 4)  8 Cu 2.52-2.66
Cu  0.5000  0.5000  0.0000 (multiplicity 1)  8 Cu 2.59-2.64

***

2.
DFT (GGA-PBE) results for a relaxed structure of AcYCu4.

ΔH_f (0 K): -201.6 meV/atom
total magnetic moment: 0.00 μB per atom

Lattice parameters (Å, degrees): 4.1823 7.6786 7.7225 90.00 90.00 90.00
With the nearest neighbours (Å) after each atom.
Space group Immm (No. 71)
Symmetry-distinct sites (fractional):
Ac  0.0000  0.0000  0.0000 (multiplicity 2)  12 Cu 3.16-3.18
Y  0.0000  0.0000  0.5000 (multiplicity 2)  12 Cu 3.04-3.30
Cu  0.0000  0.3372  0.2353 (multiplicity 8)  3 Cu 2.49-2.50

***

3.
DFT (GGA-PBE) results for a relaxed structure of AcY2Cu.

ΔH_f (0 K): -59.6 meV/atom
total magnetic moment: 0.00 μB per atom

Lattice parameters (Å, degrees): 3.6149 3.6149 9.0131 90.00 90.00 90.00
With the nearest neighbours (Å) after each atom.
Space group P4/mmm (No. 123)
Symmetry-distinct sites (fractional):
Ac  0.0000  0.0000  0.0000 (multiplicity 1)  4 Ac 3.61, 8 Y 3.84
Y  0.5000  0.5000  0.3173 (multiplicity 2)  4 Cu 3.04, 1 Y 3.29
Cu  0.0000  0.0000  0.5000 (multiplicity 1)  8 Y 3.04

***

4.
DFT (GGA-PBE) results for a relaxed structure of AcY2Cu.

ΔH_f (0 K): 33.2 meV/atom
total magnetic moment: 0.00 μB per atom

Lattice parameters (Å, degrees): 3.8384 3.8384 29.6383 90.00 90.00 120.00
With the nearest neighbours (Å) after each atom.
Space group R-3m (No. 166, hexagonal axes)
Symmetry-distinct sites (fractional):
Ac  0.0000  0.0000  0.0000 (multiplicity 3)  6 Ac 3.84, 6 Y 3.84
Y  0.0000  0.0000  0.2276 (multiplicity 6)  3 Cu 2.86
Cu  0.0000  0.0000  0.5000 (multiplicity 3)  6 Y 2.86

***

Question: Number 2 is which compound?
Answer: AcYCu4